(1)
The following is a DFT calculation (PBE) of a geometry-optimized CoIrN structure.

Results
The calculated total energy comes out at -46.4 eV per cell. The formation energy without anion corrections comes out at 362 meV/atom. As for the symmetry: Cm (8). The density of states at the Fermi level comes out at 2.50 states/eV/f.u.

Cell lengths 4.1164, 3.5849, 4.5446 Å; angles 90.00, 98.50, 90.00 degrees
Sites, in units of the cell vectors:
N 0.1999 0.0000 0.5512
N 0.1999 0.5000 0.0512
Ir 0.7236 0.0000 0.4993
Ir 0.7236 0.5000 0.9993
Co 0.2736 0.0000 0.9648
Co 0.2736 0.5000 0.4648



(2)
The following is a DFT calculation (PBE) of a geometry-optimized KMgIn2I8 structure.

Results
The calculated total energy comes out at -28.3 eV per cell. The formation energy without anion corrections comes out at -643 meV/atom. As for the symmetry: R32 (155). The density of states at the Fermi level comes out at 7.49 states/eV/f.u.

Cell lengths 7.4661, 7.4661, 12.1258 Å; angles 72.07, 72.07, 60.00 degrees
Sites, in units of the cell vectors:
I 0.6727 0.6727 0.9819
I 0.4010 0.1572 0.6736
I 0.5990 0.2318 0.3264
I 0.3273 0.3273 0.0181
I 0.1572 0.7682 0.6736
I 0.8428 0.5990 0.3264
I 0.2318 0.8428 0.3264
I 0.7682 0.4010 0.6736
In 0.7555 0.7555 0.7335
In 0.2445 0.2445 0.2665
K 0.0000 0.0000 0.0000
Mg 0.5000 0.5000 0.5000



(3)
The following is a DFT calculation (PBE) of a geometry-optimized TbAl2Cu structure.

Results
The calculated total energy comes out at -17.3 eV per cell. As for the symmetry: P4/mmm (123). The density of states at the Fermi level comes out at 1.95 states/eV/f.u.

Cell lengths 3.1465, 3.1465, 7.3108 Å; angles 90.00, 90.00, 90.00 degrees
Sites, in units of the cell vectors:
Al 0.0000 0.0000 0.8063
Al 0.0000 0.0000 0.1937
Tb 0.5000 0.5000 0.5000
Cu 0.5000 0.5000 0.0000



(4)
The following is a DFT calculation (PBE) of a geometry-optimized BaCr2Re structure.

Results
The calculated total energy comes out at -30.6 eV per cell. As for the symmetry: P2/m (10). The density of states at the Fermi level comes out at 4.18 states/eV/f.u.

Cell lengths 3.6073, 3.0929, 8.1434 Å; angles 67.45, 90.00, 90.00 degrees
Sites, in units of the cell vectors:
Cr 0.0000 0.8852 0.1155
Cr 0.0000 0.6148 0.3845
Re 0.5000 0.2500 0.2500
Ba 0.5000 0.7500 0.7500



(5)
The following is a DFT calculation (PBE) of a geometry-optimized CrOsSe2 structure.

Results
The calculated total energy comes out at -24.2 eV per cell. The formation energy without anion corrections comes out at 894 meV/atom. As for the symmetry: F-43m (216). The density of states at the Fermi level comes out at 4.83 states/eV/f.u.

Cell lengths 4.5269, 4.5269, 4.5269 Å; angles 60.00, 60.00, 60.00 degrees
Last column: magnetic moment on the atom in μB.
Sites, in units of the cell vectors:
Cr 0.5000 0.5000 0.5000  2.66
Se 0.0000 0.0000 0.0000  0.05
Se 0.2500 0.2500 0.2500  -0.13
Os 0.7500 0.7500 0.7500  -0.97



(6)
The following is a DFT calculation (PBE) of a geometry-optimized Co2Ni7Pt3 structure.

Results
The calculated total energy comes out at -70.5 eV per cell. As for the symmetry: Cmmm (65). The density of states at the Fermi level comes out at 34.99 states/eV/f.u.

Cell lengths 13.7420, 13.7420, 2.6251 Å; angles 90.00, 90.00, 162.45 degrees
Last column: magnetic moment on the atom in μB.
Sites, in units of the cell vectors:
Ni 0.2675 0.7325 0.5000  -0.55
Ni 0.5781 0.4219 0.0000  0.04
Ni 0.0000 0.0000 0.0000  -0.03
Ni 0.0907 0.9093 0.5000  -0.02
Ni 0.7325 0.2675 0.5000  -0.55
Ni 0.9093 0.0907 0.5000  -0.02
Ni 0.4219 0.5781 0.0000  0.04
Pt 0.1802 0.8198 0.0000  -0.05
Pt 0.5000 0.5000 0.5000  0.01
Pt 0.8198 0.1802 0.0000  -0.05
Co 0.3515 0.6485 0.5000  0.14
Co 0.6485 0.3515 0.5000  0.14



(7)
The following is a DFT calculation (PBE) of a geometry-optimized Ir2Se structure.

Results
The calculated total energy comes out at -19.7 eV per cell. The formation energy without anion corrections comes out at 494 meV/atom. As for the symmetry: I4/mmm (139). The density of states at the Fermi level comes out at 3.11 states/eV/f.u.

Cell lengths 5.9567, 5.9567, 5.9567 Å; angles 151.93, 151.93, 40.11 degrees
Sites, in units of the cell vectors:
Ir 0.6672 0.6672 0.0000
Ir 0.3328 0.3328 0.0000
Se 0.0000 0.0000 0.0000



(8)
The following is a DFT calculation (PBE) of a geometry-optimized TaPtSe3 structure.

Results
The calculated total energy comes out at -61.8 eV per cell. The formation energy without anion corrections comes out at -507 meV/atom. As for the symmetry: Ama2 (40). The density of states at the Fermi level comes out at 1.76 states/eV/f.u.

Cell lengths 3.5800, 6.2095, 11.6699 Å; angles 105.43, 90.00, 90.00 degrees
Sites, in units of the cell vectors:
Se 0.2500 0.1471 0.2455
Se 0.2500 0.6968 0.4765
Se 0.7500 0.9016 0.7545
Se 0.7500 0.5640 0.1364
Se 0.2500 0.4277 0.8636
Se 0.7500 0.2203 0.5235
Ta 0.7500 0.4517 0.3324
Ta 0.2500 0.1193 0.6676
Pt 0.2500 0.7506 0.2716
Pt 0.7500 0.4791 0.7284



(9)
The following is a DFT calculation (PBE) of a geometry-optimized KInHg2Au structure.

Results
The calculated total energy comes out at -8.2 eV per cell. As for the symmetry: P4/mmm (123). The density of states at the Fermi level comes out at 2.12 states/eV/f.u.

Cell lengths 5.6991, 5.6991, 5.3995 Å; angles 90.00, 90.00, 90.00 degrees
Sites, in units of the cell vectors:
In 0.0000 0.0000 0.0000
Hg 0.0000 0.5000 0.0000
Hg 0.5000 0.0000 0.0000
K 0.5000 0.5000 0.5000
Au 0.0000 0.0000 0.5000



(10)
The following is a DFT calculation (PBE) of a geometry-optimized Er4ThAs5 structure.

Results
The calculated total energy comes out at -63.9 eV per cell. As for the symmetry: Immm (71). The density of states at the Fermi level comes out at 2.90 states/eV/f.u.

Cell lengths 4.1244, 5.8402, 10.8903 Å; angles 105.55, 100.92, 90.00 degrees
Sites, in units of the cell vectors:
As 0.3963 0.8963 0.7926
As 0.1996 0.6996 0.3993
As 0.0000 0.5000 0.0000
As 0.6037 0.1037 0.2074
As 0.8004 0.3004 0.6007
Er 0.3976 0.3976 0.7953
Er 0.2030 0.2030 0.4060
Er 0.7970 0.7970 0.5940
Er 0.6024 0.6024 0.2047
Th 0.0000 0.0000 0.0000



(11)
The following is a DFT calculation (PBE) of a geometry-optimized NpPd6Pt23 structure.

Results
The calculated total energy comes out at -183.3 eV per cell. As for the symmetry: Fm-3m (225). The density of states at the Fermi level comes out at 44.14 states/eV/f.u.

Cell lengths 8.8811, 8.8811, 8.8811 Å; angles 60.00, 60.00, 60.00 degrees
Last column: magnetic moment on the atom in μB.
Sites, in units of the cell vectors:
Pt 0.6239 0.1254 0.1254  0.01
Pt 0.6395 0.6395 0.0815  0.05
Pt 0.3605 0.3605 0.3605  0.05
Pt 0.3761 0.8746 0.8746  0.01
Pt 0.1254 0.6239 0.1254  0.01
Pt 0.3605 0.3605 0.9185  0.05
Pt 0.8746 0.3761 0.8746  0.01
Pt 0.6395 0.6395 0.6395  0.05
Pt 0.0000 0.0000 0.5000  0.02
Pt 0.0000 0.5000 0.5000  0.02
Pt 0.0000 0.0000 0.0000  -0.02
Pt 0.6395 0.0815 0.6395  0.05
Pt 0.0815 0.6395 0.6395  0.05
Pt 0.1254 0.1254 0.6239  0.01
Pt 0.5000 0.5000 0.0000  0.02
Pt 0.5000 0.0000 0.0000  0.02
Pt 0.9185 0.3605 0.3605  0.05
Pt 0.3605 0.9185 0.3605  0.05
Pt 0.0000 0.5000 0.0000  0.02
Pt 0.5000 0.0000 0.5000  0.02
Pt 0.1254 0.1254 0.1254  0.01
Pt 0.8746 0.8746 0.3761  0.01
Pt 0.8746 0.8746 0.8746  0.01
Pd 0.2591 0.2591 0.7409  0.03
Pd 0.7409 0.2591 0.7409  0.03
Pd 0.7409 0.7409 0.2591  0.03
Pd 0.2591 0.7409 0.7409  0.03
Pd 0.2591 0.7409 0.2591  0.03
Pd 0.7409 0.2591 0.2591  0.03
Np 0.5000 0.5000 0.5000  -3.05



(12)
The following is a DFT calculation (PBE) of a geometry-optimized PmDyMg2 structure.

Results
The calculated total energy comes out at -12.4 eV per cell. As for the symmetry: R-3m (166). The density of states at the Fermi level comes out at 4.48 states/eV/f.u.

Cell lengths 3.5060, 3.5060, 11.1059 Å; angles 80.92, 80.92, 60.00 degrees
Sites, in units of the cell vectors:
Dy 0.5000 0.5000 0.5000
Mg 0.7514 0.7514 0.7457
Mg 0.2486 0.2486 0.2543
Pm 0.0000 0.0000 0.0000



(13)
The following is a DFT calculation (PBE) of a geometry-optimized Sm2YTm4Mg structure.

Results
The calculated total energy comes out at -35.1 eV per cell. As for the symmetry: P2/m (10). The density of states at the Fermi level comes out at 12.22 states/eV/f.u.

Cell lengths 4.9329, 4.9439, 11.1813 Å; angles 63.70, 90.00, 90.00 degrees
Sites, in units of the cell vectors:
Y 0.0000 0.5000 0.5000
Mg 0.5000 0.5000 0.0000
Sm 0.0000 0.0000 0.0000
Sm 0.5000 0.0000 0.5000
Tm 0.0000 0.7483 0.7515
Tm 0.5000 0.2487 0.7513
Tm 0.0000 0.2517 0.2485
Tm 0.5000 0.7513 0.2487



(14)
The following is a DFT calculation (PBE) of a geometry-optimized Ca4Cd3Ag structure.

Results
The calculated total energy comes out at -16.3 eV per cell. As for the symmetry: R-3m (166). The density of states at the Fermi level comes out at 4.70 states/eV/f.u.

Cell lengths 5.3942, 5.3942, 9.3004 Å; angles 73.14, 73.14, 60.00 degrees
Sites, in units of the cell vectors:
Cd 0.7525 0.7525 0.7424
Cd 0.5000 0.5000 0.5000
Cd 0.2475 0.2475 0.2576
Ca 0.8770 0.8770 0.3689
Ca 0.3733 0.3733 0.8800
Ca 0.6267 0.6267 0.1200
Ca 0.1230 0.1230 0.6311
Ag 0.0000 0.0000 0.0000



(15)
The following is a DFT calculation (PBE) of a geometry-optimized Be2Cu2Au structure.

Results
The calculated total energy comes out at -18.7 eV per cell. As for the symmetry: P-3m1 (164). The density of states at the Fermi level comes out at 2.29 states/eV/f.u.

Cell lengths 3.9322, 3.9322, 4.6622 Å; angles 90.00, 90.00, 120.00 degrees
Sites, in units of the cell vectors:
Cu 0.3333 0.6667 0.6460
Cu 0.6667 0.3333 0.3540
Be 0.3333 0.6667 0.1580
Be 0.6667 0.3333 0.8420
Au 0.0000 0.0000 0.0000



(16)
The following is a DFT calculation (PBE) of a geometry-optimized Tb8Pm4Er3 structure.

Results
The calculated total energy comes out at -64.2 eV per cell. As for the symmetry: C2/m (12). The density of states at the Fermi level comes out at 29.34 states/eV/f.u.

Cell lengths 6.7678, 9.2927, 9.2927 Å; angles 87.09, 111.50, 111.50 degrees
Sites, in units of the cell vectors:
Tb 0.0001 0.2716 0.2716
Tb 0.0000 0.3602 0.6398
Tb 0.0000 0.6398 0.3602
Tb 0.4837 0.7343 0.7343
Tb 0.5000 0.7450 0.2550
Tb 0.9999 0.7284 0.7284
Tb 0.5163 0.2657 0.2657
Tb 0.5000 0.2550 0.7450
Pm 0.0000 0.0000 0.0000
Pm 0.0000 0.5000 0.0000
Pm 0.5000 0.0000 0.0000
Pm 0.0000 0.0000 0.5000
Er 0.5000 0.0000 0.5000
Er 0.5000 0.5000 0.0000
Er 0.5000 0.5000 0.5000



(17)
The following is a DFT calculation (PBE) of a geometry-optimized La4PmNd5 structure.

Results
The calculated total energy comes out at -46.7 eV per cell. As for the symmetry: C2/m (12). The density of states at the Fermi level comes out at 16.25 states/eV/f.u.

Cell lengths 3.6426, 11.4951, 14.6472 Å; angles 141.88, 97.14, 90.00 degrees
Sites, in units of the cell vectors:
La 0.6560 0.0613 0.3119
La 0.9699 0.6903 0.9398
La 0.3440 0.9387 0.6881
La 0.0301 0.3097 0.0602
Nd 0.8265 0.2088 0.6529
Nd 0.5000 0.5000 0.0000
Nd 0.8267 0.5991 0.6535
Nd 0.1735 0.7912 0.3471
Nd 0.1733 0.4009 0.3465
Pm 0.5000 0.0000 0.0000



(18)
The following is a DFT calculation (PBE) of a geometry-optimized CsNb4S8 structure.

Results
The calculated total energy comes out at -88.7 eV per cell. The formation energy without anion corrections comes out at -1116 meV/atom. As for the symmetry: R-3m (166). The density of states at the Fermi level comes out at 5.97 states/eV/f.u.

Cell lengths 6.7895, 6.7895, 9.8170 Å; angles 69.77, 69.77, 60.00 degrees
Sites, in units of the cell vectors:
Nb 0.0000 0.5000 0.0000
Nb 0.0000 0.0000 0.0000
Nb 0.5000 0.5000 0.0000
Nb 0.5000 0.0000 0.0000
S 0.7242 0.7242 0.8274
S 0.2745 0.7765 0.1724
S 0.2235 0.2235 0.8276
S 0.2235 0.7255 0.8276
S 0.7255 0.2235 0.8276
S 0.7765 0.2745 0.1724
S 0.2758 0.2758 0.1726
S 0.7765 0.7765 0.1724
Cs 0.5000 0.5000 0.5000



(19)
The following is a DFT calculation (PBE) of a geometry-optimized TiFe3Mo structure.

Results
The calculated total energy comes out at -37.9 eV per cell. As for the symmetry: Pm-3m (221). The density of states at the Fermi level comes out at 6.19 states/eV/f.u.

Cell lengths 4.3909, 4.3909, 4.3909 Å; angles 90.00, 90.00, 90.00 degrees
Last column: magnetic moment on the atom in μB.
Sites, in units of the cell vectors:
Mo 0.0000 0.0000 0.0000  -0.38
Fe 0.0000 0.0000 0.5000  1.48
Fe 0.5000 0.0000 0.0000  1.29
Fe 0.0000 0.5000 0.0000  1.48
Ti 0.5000 0.5000 0.5000  -1.00



(20)
The following is a DFT calculation (PBE) of a geometry-optimized SrHf2Sc2 structure.

Results
The calculated total energy comes out at -31.0 eV per cell. As for the symmetry: I4/mmm (139). The density of states at the Fermi level comes out at 6.09 states/eV/f.u.

Cell lengths 4.4683, 4.4683, 7.8000 Å; angles 73.36, 73.36, 90.00 degrees
Sites, in units of the cell vectors:
Sc 0.2500 0.7500 0.5000
Sc 0.7500 0.2500 0.5000
Hf 0.5964 0.5964 0.8072
Hf 0.4036 0.4036 0.1928
Sr 0.0000 0.0000 0.0000